No. 1
{
  "formula": "Pm3In7Ir4",
  "functional": "GGA-PBE",
  "state": "relaxed",
  "sg": "C2/m (12)",
  "dos_ef_per_ev_fu": 8.005,
  "crystal_system": "monoclinic",
  "lattice": [[-3.275, 2.324, 1.986], [-2.277, -4.699, 6.796], [3.903, 3.240, 7.698]],
  "species": ["In", "In", "In", "In", "In", "In", "In", "Ir", "Ir", "Ir", "Ir", "Pm", "Pm", "Pm"],
  "frac_coords": [[0.683, 0.159, 0.475], [0.494, 0.227, 0.785], [0.837, 0.397, 0.929], [0.506, 0.773, 0.215], [0.000, 0.000, 0.000], [0.163, 0.603, 0.071], [0.317, 0.841, 0.525], [0.886, 0.897, 0.330], [0.114, 0.103, 0.670], [0.665, 0.443, 0.226], [0.335, 0.557, 0.774], [0.304, 0.183, 0.209], [0.696, 0.817, 0.791], [0.000, 0.500, 0.500]]
}

No. 2
{
  "formula": "Pm7InIr2",
  "functional": "GGA-PBE",
  "state": "relaxed",
  "sg": "P3m1 (156)",
  "dos_ef_per_ev_fu": 12.401,
  "crystal_system": "trigonal",
  "lattice": [[5.238, 0.000, 0.000], [-2.619, 4.537, 0.000], [0.000, 0.000, 12.329]],
  "species": ["Ir", "Ir", "Pm", "Pm", "Pm", "Pm", "Pm", "Pm", "Pm", "In"],
  "frac_coords": [[0.667, 0.333, 0.360], [0.333, 0.667, 0.692], [0.667, 0.333, 0.137], [0.000, 0.000, 0.298], [0.333, 0.667, 0.440], [0.667, 0.333, 0.580], [0.667, 0.333, 0.831], [0.333, 0.667, 0.941], [0.000, 0.000, 0.721], [0.000, 0.000, 0.017]]
}

No. 3
{
  "formula": "PmInIr",
  "functional": "GGA-PBE",
  "state": "relaxed",
  "sg": "P2_1/m (11)",
  "dos_ef_per_ev_fu": 1.791,
  "relative_energy_mev_per_atom": 0,
  "crystal_system": "monoclinic",
  "lattice": [[4.208, 0.000, 0.000], [0.000, 7.496, 0.091], [0.000, 0.135, 12.890]],
  "species": ["Ir", "Ir", "Ir", "Ir", "Ir", "Ir", "Pm", "Pm", "Pm", "Pm", "Pm", "Pm", "In", "In", "In", "In", "In", "In"],
  "frac_coords": [[0.750, 0.754, 0.585], [0.750, 0.247, 0.084], [0.250, 0.246, 0.415], [0.250, 0.747, 0.251], [0.250, 0.753, 0.916], [0.750, 0.253, 0.749], [0.750, 0.539, 0.378], [0.250, 0.952, 0.715], [0.750, 0.048, 0.285], [0.750, 0.656, 0.081], [0.250, 0.461, 0.622], [0.250, 0.344, 0.919], [0.250, 0.380, 0.204], [0.250, 0.858, 0.456], [0.750, 0.620, 0.796], [0.250, 0.995, 0.086], [0.750, 0.005, 0.914], [0.750, 0.142, 0.544]]
}

No. 4
{
  "formula": "Pm4In2Ir",
  "functional": "GGA-PBE",
  "state": "relaxed",
  "sg": "I4/mmm (139)",
  "dos_ef_per_ev_fu": 5.315,
  "crystal_system": "tetragonal",
  "lattice": [[-4.003, 3.674, 0.612], [-0.488, -1.408, 5.260], [7.541, 4.312, -0.988]],
  "species": ["In", "In", "Pm", "Pm", "Pm", "Pm", "Ir"],
  "frac_coords": [[0.622, 0.622, 0.244], [0.378, 0.378, 0.756], [0.000, 0.500, 0.000], [0.821, 0.821, 0.642], [0.179, 0.179, 0.358], [0.500, 0.000, 0.000], [0.000, 0.000, 0.000]]
}

No. 5
{
  "formula": "Pm3InIr8",
  "functional": "GGA-PBE",
  "state": "relaxed",
  "sg": "R3m (160)",
  "dos_ef_per_ev_fu": 15.511,
  "crystal_system": "trigonal",
  "lattice": [[5.160, 0.000, 1.558], [2.345, 4.596, 1.558], [-0.007, -0.004, 9.348]],
  "species": ["Ir", "Ir", "Ir", "Ir", "Ir", "Ir", "Ir", "Ir", "Pm", "Pm", "Pm", "In"],
  "frac_coords": [[0.938, 0.938, 0.686], [0.437, 0.437, 0.188], [0.188, 0.188, 0.436], [0.938, 0.439, 0.686], [0.437, 0.937, 0.188], [0.439, 0.938, 0.686], [0.937, 0.437, 0.188], [0.688, 0.688, 0.936], [0.376, 0.376, 0.873], [0.503, 0.503, 0.491], [0.996, 0.996, 0.011], [0.873, 0.873, 0.380]]
}

No. 6
{
  "formula": "PmIn2Ir",
  "functional": "GGA-PBE",
  "state": "relaxed",
  "sg": "P4/mmm (123)",
  "dos_ef_per_ev_fu": 2.800,
  "relative_energy_mev_per_atom": 259,
  "crystal_system": "tetragonal",
  "lattice": [[4.852, 0.000, 0.000], [0.000, 4.299, 0.000], [0.000, 0.000, 4.299]],
  "species": ["Pm", "In", "In", "Ir"],
  "frac_coords": [[0.500, 0.000, 0.000], [0.000, 0.000, 0.500], [0.000, 0.500, 0.000], [0.500, 0.500, 0.500]]
}

No. 7
{
  "formula": "PmInIr",
  "functional": "GGA-PBE",
  "state": "relaxed",
  "sg": "P-6m2 (187)",
  "dos_ef_per_ev_fu": 1.931,
  "relative_energy_mev_per_atom": 220,
  "crystal_system": "hexagonal",
  "lattice": [[-2.015, 2.810, 0.584], [-1.738, -2.056, 3.898], [3.870, 2.717, 0.280]],
  "species": ["In", "Pm", "Ir"],
  "frac_coords": [[0.167, 0.333, 0.667], [0.667, 0.667, 0.333], [0.167, 0.000, 0.000]]
}

No. 8
{
  "formula": "PmIn2Ir",
  "functional": "GGA-PBE",
  "state": "relaxed",
  "sg": "R-3m (166)",
  "dos_ef_per_ev_fu": 3.345,
  "relative_energy_mev_per_atom": 219,
  "crystal_system": "trigonal",
  "lattice": [[-3.987, -1.644, 1.446], [-1.865, -3.594, -2.074], [0.586, -4.979, 3.110]],
  "species": ["Ir", "In", "In", "Pm"],
  "frac_coords": [[0.500, 0.500, 0.500], [0.220, 0.220, 0.339], [0.780, 0.780, 0.661], [0.000, 0.000, 0.000]]
}

No. 9
{
  "formula": "PmIn9Ir2",
  "functional": "GGA-PBE",
  "state": "relaxed",
  "sg": "I4_1/amd (141)",
  "dos_ef_per_ev_fu": 6.516,
  "crystal_system": "tetragonal",
  "lattice": [[0.646, -1.896, 7.002], [-7.163, -5.426, 2.979], [4.764, -8.099, 1.155]],
  "species": ["In", "In", "In", "In", "In", "In", "In", "In", "In", "In", "In", "In", "In", "In", "In", "In", "In", "In", "Ir", "Ir", "Ir", "Ir", "Pm", "Pm"],
  "frac_coords": [[0.750, 0.500, 0.500], [0.000, 0.000, 0.000], [0.324, 0.063, 0.697], [0.426, 0.437, 0.803], [0.978, 0.937, 0.697], [0.772, 0.803, 0.563], [0.772, 0.563, 0.803], [0.426, 0.803, 0.437], [0.085, 0.303, 0.937], [0.665, 0.563, 0.197], [0.978, 0.697, 0.937], [0.324, 0.697, 0.063], [0.138, 0.197, 0.437], [0.085, 0.937, 0.303], [0.665, 0.197, 0.563], [0.612, 0.063, 0.303], [0.138, 0.437, 0.197], [0.612, 0.303, 0.063], [0.875, 0.250, 0.250], [0.875, 0.750, 0.250], [0.375, 0.750, 0.750], [0.875, 0.250, 0.750], [0.250, 0.500, 0.500], [0.500, 0.000, 0.000]]
}

No. 10
{
  "formula": "PmIn12Ir6",
  "functional": "GGA-PBE",
  "state": "relaxed",
  "sg": "R-3m (166)",
  "dos_ef_per_ev_fu": 10.440,
  "crystal_system": "trigonal",
  "lattice": [[-0.088, 2.549, -7.431], [7.220, -2.844, 1.224], [-4.828, -6.194, 0.217]],
  "species": ["In", "In", "In", "In", "In", "In", "In", "In", "In", "In", "In", "In", "Ir", "Ir", "Ir", "Ir", "Ir", "Ir", "Pm"],
  "frac_coords": [[0.854, 0.593, 0.593], [0.120, 0.880, 0.500], [0.593, 0.854, 0.593], [0.593, 0.593, 0.854], [0.120, 0.500, 0.880], [0.146, 0.407, 0.407], [0.407, 0.407, 0.146], [0.880, 0.500, 0.120], [0.407, 0.146, 0.407], [0.500, 0.120, 0.880], [0.500, 0.880, 0.120], [0.880, 0.120, 0.500], [0.693, 0.271, 0.271], [0.307, 0.729, 0.729], [0.729, 0.729, 0.307], [0.271, 0.693, 0.271], [0.271, 0.271, 0.693], [0.729, 0.307, 0.729], [0.000, 0.000, 0.000]]
}

No. 11
{
  "formula": "PmIn2Ir",
  "functional": "GGA-PBE",
  "state": "relaxed",
  "sg": "Fm-3m (225)",
  "dos_ef_per_ev_fu": 1.071,
  "relative_energy_mev_per_atom": 247,
  "crystal_system": "cubic",
  "lattice": [[-0.250, 4.142, 2.689], [-4.338, 2.293, 0.612], [-2.222, -0.050, 4.417]],
  "species": ["In", "In", "Pm", "Ir"],
  "frac_coords": [[0.250, 0.250, 0.250], [0.750, 0.750, 0.750], [0.500, 0.500, 0.500], [0.000, 0.000, 0.000]]
}

No. 12
{
  "formula": "PmInIr",
  "functional": "GGA-PBE",
  "state": "relaxed",
  "sg": "C2/m (12)",
  "dos_ef_per_ev_fu": 2.668,
  "relative_energy_mev_per_atom": 437,
  "crystal_system": "monoclinic",
  "lattice": [[-4.060, 0.734, 2.259], [2.515, -3.935, 5.798], [5.370, 7.348, 2.363]],
  "species": ["Ir", "Ir", "Ir", "Ir", "In", "In", "In", "In", "Pm", "Pm", "Pm", "Pm"],
  "frac_coords": [[0.349, 0.476, 0.699], [0.651, 0.524, 0.301], [0.340, 0.839, 0.681], [0.660, 0.161, 0.319], [0.758, 0.875, 0.517], [0.242, 0.125, 0.483], [0.793, 0.366, 0.585], [0.207, 0.634, 0.415], [0.082, 0.316, 0.164], [0.576, 0.845, 0.152], [0.424, 0.155, 0.848], [0.918, 0.684, 0.836]]
}

No. 13
{
  "formula": "PmInIr",
  "functional": "GGA-PBE",
  "state": "relaxed",
  "sg": "I4mm (107)",
  "dos_ef_per_ev_fu": 2.323,
  "relative_energy_mev_per_atom": 249,
  "crystal_system": "tetragonal",
  "lattice": [[-1.447, -0.401, 3.027], [0.183, -3.355, -0.357], [5.943, 1.898, 1.206]],
  "species": ["In", "Pm", "Ir"],
  "frac_coords": [[0.310, 0.310, 0.621], [0.597, 0.597, 0.194], [0.943, 0.943, 0.886]]
}

No. 14
{
  "formula": "Pm2In6Ir",
  "functional": "GGA-PBE",
  "state": "relaxed",
  "sg": "Amm2 (38)",
  "dos_ef_per_ev_fu": 5.461,
  "crystal_system": "orthorhombic",
  "lattice": [[4.586, 0.000, -0.874], [0.000, 3.924, 0.000], [0.115, 0.000, 13.077]],
  "species": ["In", "In", "In", "In", "In", "In", "Pm", "Pm", "Ir"],
  "frac_coords": [[0.105, 0.500, 0.211], [0.589, 0.000, 0.177], [0.218, 0.500, 0.436], [0.888, 0.500, 0.776], [0.708, 0.000, 0.416], [0.456, 0.500, 0.913], [0.997, 0.000, 0.995], [0.323, 0.000, 0.645], [0.785, 0.500, 0.570]]
}

No. 15
{
  "formula": "Pm7In2Ir2",
  "functional": "GGA-PBE",
  "state": "relaxed",
  "sg": "Cmmm (65)",
  "dos_ef_per_ev_fu": 10.464,
  "relative_energy_mev_per_atom": 8,
  "crystal_system": "orthorhombic",
  "lattice": [[-4.861, -3.235, -3.881], [4.077, 0.955, -5.901], [4.410, -4.967, 2.242]],
  "species": ["Pm", "Pm", "Pm", "Pm", "Pm", "Pm", "Pm", "In", "In", "Ir", "Ir"],
  "frac_coords": [[0.500, 0.244, 0.500], [0.500, 0.750, 0.000], [0.000, 0.750, 0.500], [0.000, 0.000, 0.000], [0.500, 0.250, 0.000], [0.000, 0.250, 0.500], [0.500, 0.756, 0.500], [0.828, 0.500, 0.828], [0.172, 0.500, 0.172], [0.711, 0.000, 0.289], [0.289, 0.000, 0.711]]
}

No. 16
{
  "formula": "Pm11In9Ir4",
  "functional": "GGA-PBE",
  "state": "relaxed",
  "sg": "Cmmm (65)",
  "dos_ef_per_ev_fu": 14.038,
  "crystal_system": "orthorhombic",
  "lattice": [[-1.001, -3.522, 1.118], [-7.155, -1.505, -11.147], [12.613, -4.054, -1.479]],
  "species": ["In", "In", "In", "In", "In", "In", "In", "In", "In", "Pm", "Pm", "Pm", "Pm", "Pm", "Pm", "Pm", "Pm", "Pm", "Pm", "Pm", "Ir", "Ir", "Ir", "Ir"],
  "frac_coords": [[0.500, 0.840, 0.368], [0.500, 0.076, 0.218], [0.500, 0.160, 0.632], [0.500, 0.782, 0.924], [0.500, 0.500, 0.500], [0.500, 0.632, 0.160], [0.500, 0.218, 0.076], [0.500, 0.924, 0.782], [0.500, 0.368, 0.840], [0.000, 0.163, 0.837], [0.000, 0.584, 0.922], [0.000, 0.078, 0.416], [0.000, 0.312, 0.312], [0.000, 0.374, 0.626], [0.000, 0.688, 0.688], [0.000, 0.837, 0.163], [0.000, 0.000, 0.000], [0.000, 0.626, 0.374], [0.000, 0.416, 0.078], [0.000, 0.922, 0.584], [0.500, 0.246, 0.448], [0.500, 0.552, 0.754], [0.500, 0.754, 0.552], [0.500, 0.448, 0.246]]
}

No. 17
{
  "formula": "Pm6In3Ir",
  "functional": "GGA-PBE",
  "state": "relaxed",
  "sg": "P2_1/m (11)",
  "dos_ef_per_ev_fu": 8.808,
  "relative_energy_mev_per_atom": 0,
  "crystal_system": "monoclinic",
  "lattice": [[5.363, 0.000, 0.000], [0.000, 8.996, -2.909], [0.000, 0.091, 11.674]],
  "species": ["In", "In", "In", "In", "In", "In", "Pm", "Pm", "Pm", "Pm", "Pm", "Pm", "Pm", "Pm", "Pm", "Pm", "Pm", "Pm", "Ir", "Ir"],
  "frac_coords": [[0.250, 0.772, 0.975], [0.250, 0.403, 0.782], [0.750, 0.228, 0.025], [0.750, 0.597, 0.218], [0.750, 0.486, 0.622], [0.250, 0.514, 0.378], [0.750, 0.782, 0.501], [0.750, 0.147, 0.672], [0.250, 0.218, 0.499], [0.750, 0.902, 0.142], [0.250, 0.098, 0.858], [0.250, 0.853, 0.328], [0.250, 0.458, 0.085], [0.750, 0.874, 0.850], [0.750, 0.313, 0.333], [0.250, 0.687, 0.667], [0.750, 0.542, 0.915], [0.250, 0.126, 0.150], [0.250, 0.959, 0.596], [0.750, 0.041, 0.404]]
}

No. 18
{
  "formula": "Pm6In3Ir",
  "functional": "GGA-PBE",
  "state": "relaxed",
  "sg": "Fm-3m (225)",
  "dos_ef_per_ev_fu": 13.894,
  "relative_energy_mev_per_atom": 383,
  "crystal_system": "cubic",
  "lattice": [[8.007, 0.000, 0.000], [4.004, 6.935, 0.000], [4.004, 2.312, 6.538]],
  "species": ["Pm", "Pm", "Pm", "Pm", "Pm", "Pm", "In", "In", "In", "Ir"],
  "frac_coords": [[0.759, 0.241, 0.241], [0.241, 0.759, 0.759], [0.759, 0.759, 0.241], [0.241, 0.241, 0.759], [0.759, 0.241, 0.759], [0.241, 0.759, 0.241], [0.750, 0.750, 0.750], [0.500, 0.500, 0.500], [0.250, 0.250, 0.250], [0.000, 0.000, 0.000]]
}

No. 19
{
  "formula": "PmInIr",
  "functional": "GGA-PBE",
  "state": "relaxed",
  "sg": "F-43m (216)",
  "dos_ef_per_ev_fu": 1.225,
  "relative_energy_mev_per_atom": 142,
  "crystal_system": "cubic",
  "lattice": [[-2.960, -1.177, 3.530], [-4.235, -1.921, -0.989], [-0.823, -4.578, 0.986]],
  "species": ["Pm", "Ir", "In"],
  "frac_coords": [[0.000, 0.000, 0.000], [0.250, 0.250, 0.250], [0.500, 0.500, 0.500]]
}

No. 20
{
  "formula": "Pm8In2Ir3",
  "functional": "GGA-PBE",
  "state": "relaxed",
  "sg": "P2/m (10)",
  "dos_ef_per_ev_fu": 11.782,
  "crystal_system": "monoclinic",
  "lattice": [[5.051, 0.000, 0.000], [0.000, 8.805, -5.055], [0.000, -0.664, 9.027]],
  "species": ["In", "In", "Pm", "Pm", "Pm", "Pm", "Pm", "Pm", "Pm", "Pm", "Ir", "Ir", "Ir"],
  "frac_coords": [[0.500, 0.256, 0.512], [0.500, 0.744, 0.488], [0.500, 0.134, 0.775], [0.500, 0.866, 0.225], [0.000, 0.113, 0.226], [0.000, 0.611, 0.222], [0.500, 0.358, 0.224], [0.500, 0.642, 0.776], [0.000, 0.389, 0.778], [0.000, 0.887, 0.774], [0.000, 0.745, 0.000], [0.000, 0.255, 0.000], [0.500, 0.000, 0.000]]
}

No. 21
{
  "formula": "PmIn6Ir",
  "functional": "GGA-PBE",
  "state": "relaxed",
  "sg": "Amm2 (38)",
  "dos_ef_per_ev_fu": 3.585,
  "crystal_system": "orthorhombic",
  "lattice": [[4.401, 0.000, 0.000], [0.000, 6.620, -0.881], [0.000, -0.461, 6.663]],
  "species": ["In", "In", "In", "In", "In", "In", "Ir", "Pm"],
  "frac_coords": [[0.000, 0.795, 0.579], [0.500, 0.142, 0.397], [0.000, 0.882, 0.118], [0.000, 0.421, 0.205], [0.000, 0.332, 0.668], [0.500, 0.603, 0.858], [0.500, 0.717, 0.283], [0.500, 0.107, 0.893]]
}

Q: Which calculated formation energy values were calculated for the entries above? A: -6.1, -3.0, -1.9, -2.0, -6.4, -1.1, -1.3, -1.3, -0.6, -2.0, -1.1, -0.6, -1.2, -2.5, -4.6, -14.8, -4.2, -0.4, -1.5, -5.4, -1.3, in eV/f.u..